(1)
LaNdGaPt (PBE-GGA, optimized geometry); calculated density = 8.991 g cm⁻³; calculated formation energy = -284 kJ/mol of formula units; energy above the most stable polymorph in this dataset = 106.6 meV per atom; DOS(E_F) = 0.95 states/eV per atom
1.0
7.398 0.000 0.000
0.000 7.398 0.000
0.000 0.000 7.398
La Nd Ga Pt
4 4 4 4
Direct
0.000 0.000 0.000
0.000 0.500 0.500
0.500 0.000 0.500
0.500 0.500 0.000
0.000 0.000 0.500
0.000 0.500 0.000
0.500 0.000 0.000
0.500 0.500 0.500
0.250 0.250 0.750
0.250 0.750 0.250
0.750 0.250 0.250
0.750 0.750 0.750
0.250 0.250 0.250
0.250 0.750 0.750
0.750 0.250 0.750
0.750 0.750 0.250



(2)
La2NdGa3Pt4 (PBE-GGA, optimized geometry); calculated density = 10.748 g cm⁻³; calculated formation energy = -929 kJ/mol of formula units; DOS(E_F) = 0.65 states/eV per atom
1.0
4.378 0.000 0.000
0.000 4.378 0.000
0.000 0.000 11.376
La Nd Ga Pt
2 1 3 4
Direct
0.000 0.500 0.225
0.500 0.000 0.775
0.000 0.000 0.500
0.000 0.500 0.884
0.500 0.000 0.116
0.500 0.500 0.500
0.000 0.000 0.000
0.000 0.500 0.663
0.500 0.000 0.337
0.500 0.500 0.000



(3)
LaNdGaPt (PBE-GGA, optimized geometry); calculated density = 8.744 g cm⁻³; calculated formation energy = -325 kJ/mol of formula units; energy above the most stable polymorph in this dataset = 0.0 meV per atom; DOS(E_F) = 1.00 states/eV per atom
1.0
4.488 0.000 0.000
0.000 4.345 0.000
0.000 0.000 10.672
La Nd Ga Pt
2 2 2 2
Direct
0.000 0.000 0.000
0.000 0.500 0.500
0.500 0.000 0.284
0.500 0.500 0.784
0.500 0.000 0.576
0.500 0.500 0.076
0.000 0.000 0.718
0.000 0.500 0.218